(1)
BaZnN2O: relaxed, PBE.

Structure (POSCAR):
```
BaZnN2O
1.0
4.081 0.000 0.000
0.000 4.081 0.000
0.000 0.000 4.446
Zn Ba O N
1 1 1 2
Direct
0.000 0.000 0.000
0.500 0.500 0.500
0.000 0.000 0.500
0.000 0.500 0.000
0.500 0.000 0.000
```

Computed properties:
Formation energy without anion corrections: 180.5 meV per atom

(2)
K3TlMo: relaxed, PBE.

Structure (POSCAR):
```
K3TlMo
1.0
-5.181 -3.509 -2.461
0.689 -4.492 4.955
-4.230 3.566 3.821
K Tl Mo
3 1 1
Direct
0.000 0.500 0.000
0.000 0.000 0.500
0.500 0.000 0.000
0.500 0.500 0.500
0.000 0.000 0.000
```

Computed properties:
ΔE to the lowest computed polymorph: 0.0000 eV per atom
Formation energy: 1.156 eV per atom